# 1
{"formula": "Ho3ErP4", "functional": "PBE", "state": "relaxed", "lattice": [[3.980, -5.628, 0.000], [3.980, 5.628, 0.000], [0.000, 0.000, 3.981]], "species": ["Ho", "Ho", "Ho", "Er", "P", "P", "P", "P"], "fractional_positions": [[0.000, 0.000, 0.000], [0.000, 0.500, 0.500], [0.500, 0.000, 0.500], [0.500, 0.500, 0.000], [0.250, 0.750, 0.000], [0.251, 0.251, 0.500], [0.749, 0.749, 0.500], [0.750, 0.250, 0.000]]}

=====

# 2
{"formula": "HoErPb2", "functional": "PBE", "state": "relaxed", "lattice": [[4.416, 0.000, 0.000], [0.000, 2.235, 5.805], [0.000, -2.235, 5.805]], "species": ["Ho", "Er", "Pb", "Pb"], "fractional_positions": [[0.000, 0.000, 0.000], [0.500, 0.260, 0.260], [0.000, 0.731, 0.731], [0.500, 0.528, 0.528]]}

=====

# 3
{"formula": "HoEr2PdPt2Pb3", "functional": "PBE", "state": "relaxed", "lattice": [[3.787, 0.000, 0.000], [0.000, 6.843, 3.938], [0.000, -6.843, 3.938]], "species": ["Ho", "Er", "Er", "Pd", "Pt", "Pt", "Pb", "Pb", "Pb"], "fractional_positions": [[0.000, 0.000, 0.000], [0.000, 0.191, 0.595], [0.000, 0.595, 0.191], [0.000, 0.594, 0.594], [0.500, 0.263, 0.929], [0.500, 0.929, 0.263], [0.500, 0.329, 0.329], [0.500, 0.596, 0.862], [0.500, 0.862, 0.596]]}

=====

# 4
{"formula": "HoErPd6", "functional": "PBE", "state": "relaxed", "ef_ev_per_atom": -0.91, "lattice": [[4.096, 0.000, 0.000], [0.000, 4.096, 0.000], [0.000, 0.000, 8.190]], "species": ["Ho", "Er", "Pd", "Pd", "Pd", "Pd", "Pd", "Pd"], "fractional_positions": [[0.000, 0.000, 0.000], [0.000, 0.000, 0.500], [0.000, 0.500, 0.251], [0.000, 0.500, 0.749], [0.500, 0.000, 0.251], [0.500, 0.000, 0.749], [0.500, 0.500, 0.000], [0.500, 0.500, 0.500]]}

=====

# 5
{"formula": "HoErPd2", "functional": "PBE", "state": "relaxed", "e_above_lowest_polymorph_ev_per_atom": 0.0000, "ef_ev_per_atom": -0.95, "lattice": [[5.560, 0.000, 0.000], [0.000, 4.557, 0.000], [-0.027, 0.000, 6.858]], "species": ["Ho", "Ho", "Er", "Er", "Pd", "Pd", "Pd", "Pd"], "fractional_positions": [[0.144, 0.250, 0.183], [0.856, 0.750, 0.817], [0.357, 0.250, 0.682], [0.643, 0.750, 0.318], [0.156, 0.750, 0.460], [0.345, 0.750, 0.957], [0.655, 0.250, 0.043], [0.844, 0.250, 0.540]]}

=====

# 6
{"formula": "HoErPd2", "functional": "PBE", "state": "relaxed", "e_above_lowest_polymorph_ev_per_atom": 0.0050, "ef_ev_per_atom": -0.94, "lattice": [[4.464, 0.000, 0.000], [0.000, 5.639, 0.000], [0.000, 0.000, 6.861]], "species": ["Ho", "Ho", "Er", "Er", "Pd", "Pd", "Pd", "Pd"], "fractional_positions": [[0.000, 0.108, 0.000], [0.000, 0.892, 0.500], [0.500, 0.392, 0.364], [0.500, 0.608, 0.864], [0.000, 0.406, 0.640], [0.000, 0.594, 0.140], [0.500, 0.095, 0.723], [0.500, 0.905, 0.223]]}

=====

# 7
{"formula": "HoEr3Pd4", "functional": "PBE", "state": "relaxed", "ef_ev_per_atom": -0.95, "lattice": [[5.559, 0.000, 0.000], [0.000, 4.540, 0.000], [-0.013, 0.000, 6.847]], "species": ["Ho", "Er", "Er", "Er", "Pd", "Pd", "Pd", "Pd"], "fractional_positions": [[0.000, 0.000, 0.000], [0.213, 0.000, 0.500], [0.500, 0.500, 0.135], [0.713, 0.500, 0.635], [0.012, 0.500, 0.278], [0.202, 0.500, 0.774], [0.512, 0.000, 0.858], [0.700, 0.000, 0.360]]}

=====

# 8
{"formula": "HoErPd2", "functional": "PBE", "state": "relaxed", "e_above_lowest_polymorph_ev_per_atom": 0.0052, "ef_ev_per_atom": -0.94, "lattice": [[4.458, 0.000, 0.000], [0.000, 6.865, 0.000], [0.000, 0.000, 5.637]], "species": ["Ho", "Ho", "Er", "Er", "Pd", "Pd", "Pd", "Pd"], "fractional_positions": [[0.000, 0.068, 0.000], [0.500, 0.932, 0.500], [0.000, 0.568, 0.216], [0.500, 0.432, 0.716], [0.000, 0.211, 0.513], [0.000, 0.706, 0.703], [0.500, 0.294, 0.203], [0.500, 0.789, 0.013]]}

=====

Number 1: raw total energy -6.61 eV per atom. Number 2: raw total energy -4.58 eV per atom. Number 3: raw total energy -5.49 eV per atom. Number 4: raw total energy -5.94 eV per atom. Number 5: raw total energy -5.82 eV per atom. Number 6: raw total energy -5.82 eV per atom. Number 7: raw total energy -5.82 eV per atom. Number 8: raw total energy -5.82 eV per atom.